1.
# NbZnSi2

A geometry-optimized NbZnSi2 structure (GGA-PBEsol, the Alexandria database).

Calculated values
* D(E_F): 0.873 states/eV/atom
* space-group type: No. 122
* uncorrected formation energy: 237 meV/atom

CIF file:
```
data_NbZnSi2
_chemical_formula_sum 'Nb2 Zn2 Si4'
_symmetry_space_group_name_H-M 'P 1'
_symmetry_Int_Tables_number 1
_symmetry_space_group_name_Hall 'P 1'
_cell_length_a 5.5406
_cell_length_b 5.5406
_cell_length_c 5.5406
_cell_angle_alpha 103.41
_cell_angle_beta 103.41
_cell_angle_gamma 122.43
loop_
_atom_site_label
_atom_site_fract_x
_atom_site_fract_y
_atom_site_fract_z
_atom_site_occupancy
Nb1 0.0000 0.0000 0.0000 1
Nb2 0.7500 0.2500 0.5000 1
Zn1 0.2500 0.7500 0.5000 1
Zn2 0.5000 0.5000 0.0000 1
Si1 0.1483 0.1250 0.5233 1
Si2 0.3750 0.8517 0.9767 1
Si3 0.6017 0.6250 0.4767 1
Si4 0.8750 0.3983 0.0233 1
```

2.
# Zr2NbSi2

A geometry-optimized Zr2NbSi2 structure (GGA-PBEsol, the Alexandria database).

Calculated values
* D(E_F): 0.426 states/eV/atom
* space-group type: No. 127
* uncorrected formation energy: -927 meV/atom

CIF file:
```
data_Zr2NbSi2
_chemical_formula_sum 'Zr4 Nb2 Si4'
_symmetry_space_group_name_H-M 'P 1'
_symmetry_Int_Tables_number 1
_symmetry_space_group_name_Hall 'P 1'
_cell_length_a 6.8399
_cell_length_b 6.8399
_cell_length_c 3.7016
_cell_angle_alpha 90.00
_cell_angle_beta 90.00
_cell_angle_gamma 90.00
loop_
_atom_site_label
_atom_site_fract_x
_atom_site_fract_y
_atom_site_fract_z
_atom_site_occupancy
Zr1 0.1753 0.3247 0.0000 1
Zr2 0.3247 0.8247 0.0000 1
Zr3 0.6753 0.1753 0.0000 1
Zr4 0.8247 0.6753 0.0000 1
Nb1 0.0000 0.0000 0.5000 1
Nb2 0.5000 0.5000 0.5000 1
Si1 0.1248 0.6248 0.5000 1
Si2 0.3752 0.1248 0.5000 1
Si3 0.6248 0.8752 0.5000 1
Si4 0.8752 0.3752 0.5000 1
```

3.
# ZrNb3Si

A geometry-optimized ZrNb3Si structure (GGA-PBEsol, the Alexandria database).

Calculated values
* D(E_F): 1.079 states/eV/atom
* space-group type: No. 221
* uncorrected formation energy: 472 meV/atom

CIF file:
```
data_ZrNb3Si
_chemical_formula_sum 'Zr1 Nb3 Si1'
_symmetry_space_group_name_H-M 'P 1'
_symmetry_Int_Tables_number 1
_symmetry_space_group_name_Hall 'P 1'
_cell_length_a 4.6746
_cell_length_b 4.6746
_cell_length_c 4.6746
_cell_angle_alpha 90.00
_cell_angle_beta 90.00
_cell_angle_gamma 90.00
loop_
_atom_site_label
_atom_site_fract_x
_atom_site_fract_y
_atom_site_fract_z
_atom_site_occupancy
Zr1 0.0000 0.0000 0.0000 1
Nb1 0.0000 0.5000 0.5000 1
Nb2 0.5000 0.0000 0.5000 1
Nb3 0.5000 0.5000 0.0000 1
Si1 0.5000 0.5000 0.5000 1
```

4.
# NbSn2

A geometry-optimized NbSn2 structure (GGA-PBEsol, the Alexandria database).

Calculated values
* D(E_F): 0.701 states/eV/atom
* space-group type: No. 70

CIF file:
```
data_NbSn2
_chemical_formula_sum 'Nb2 Sn4'
_symmetry_space_group_name_H-M 'P 1'
_symmetry_Int_Tables_number 1
_symmetry_space_group_name_Hall 'P 1'
_cell_length_a 6.7271
_cell_length_b 5.5734
_cell_length_c 5.3522
_cell_angle_alpha 75.98
_cell_angle_beta 53.50
_cell_angle_gamma 50.53
loop_
_atom_site_label
_atom_site_fract_x
_atom_site_fract_y
_atom_site_fract_z
_atom_site_occupancy
Nb1 0.1250 0.1250 0.1250 1
Nb2 0.8750 0.8750 0.8750 1
Sn1 0.2068 0.5432 0.2068 1
Sn2 0.4568 0.7932 0.4568 1
Sn3 0.5432 0.2068 0.5432 1
Sn4 0.7932 0.4568 0.7932 1
```

5.
# SrNbSnTe2

A geometry-optimized SrNbSnTe2 structure (GGA-PBEsol, the Alexandria database).

Calculated values
* D(E_F): 0.987 states/eV/atom
* space-group type: No. 123
* uncorrected formation energy: 979 meV/atom

CIF file:
```
data_SrNbSnTe2
_chemical_formula_sum 'Sr1 Nb1 Sn1 Te2'
_symmetry_space_group_name_H-M 'P 1'
_symmetry_Int_Tables_number 1
_symmetry_space_group_name_Hall 'P 1'
_cell_length_a 5.7061
_cell_length_b 5.7061
_cell_length_c 5.7474
_cell_angle_alpha 90.00
_cell_angle_beta 90.00
_cell_angle_gamma 90.00
loop_
_atom_site_label
_atom_site_fract_x
_atom_site_fract_y
_atom_site_fract_z
_atom_site_occupancy
Sr1 0.0000 0.0000 0.0000 1
Nb1 0.5000 0.5000 0.0000 1
Sn1 0.0000 0.0000 0.5000 1
Te1 0.0000 0.5000 0.5000 1
Te2 0.5000 0.0000 0.5000 1
```

6.
# Nb6SnTe8

A geometry-optimized Nb6SnTe8 structure (GGA-PBEsol, the Alexandria database).

Calculated values
* D(E_F): 0.475 states/eV/atom
* space-group type: No. 147
* uncorrected formation energy: -419 meV/atom

CIF file:
```
data_Nb6SnTe8
_chemical_formula_sum 'Nb6 Sn1 Te8'
_symmetry_space_group_name_H-M 'P 1'
_symmetry_Int_Tables_number 1
_symmetry_space_group_name_Hall 'P 1'
_cell_length_a 10.5803
_cell_length_b 10.5803
_cell_length_c 3.6015
_cell_angle_alpha 90.00
_cell_angle_beta 90.00
_cell_angle_gamma 120.00
loop_
_atom_site_label
_atom_site_fract_x
_atom_site_fract_y
_atom_site_fract_z
_atom_site_occupancy
Nb1 0.1028 0.4882 0.2490 1
Nb2 0.3854 0.8972 0.2490 1
Nb3 0.4882 0.3854 0.7510 1
Nb4 0.5118 0.6146 0.2490 1
Nb5 0.6146 0.1028 0.7510 1
Nb6 0.8972 0.5118 0.7510 1
Sn1 0.0000 0.0000 0.0000 1
Te1 0.0647 0.7336 0.2519 1
Te2 0.2664 0.3312 0.2519 1
Te3 0.3312 0.0647 0.7481 1
Te4 0.3333 0.6667 0.7494 1
Te5 0.6667 0.3333 0.2506 1
Te6 0.6688 0.9353 0.2519 1
Te7 0.7336 0.6688 0.7481 1
Te8 0.9353 0.2664 0.7481 1
```

7.
# TiNbSn2

A geometry-optimized TiNbSn2 structure (GGA-PBEsol, the Alexandria database).

Calculated values
* D(E_F): 1.277 states/eV/atom
* space-group type: No. 225

CIF file:
```
data_TiNbSn2
_chemical_formula_sum 'Ti1 Nb1 Sn2'
_symmetry_space_group_name_H-M 'P 1'
_symmetry_Int_Tables_number 1
_symmetry_space_group_name_Hall 'P 1'
_cell_length_a 4.7572
_cell_length_b 4.7572
_cell_length_c 4.7572
_cell_angle_alpha 60.00
_cell_angle_beta 60.00
_cell_angle_gamma 60.00
loop_
_atom_site_label
_atom_site_fract_x
_atom_site_fract_y
_atom_site_fract_z
_atom_site_occupancy
Ti1 0.0000 0.0000 0.0000 1
Nb1 0.5000 0.5000 0.5000 1
Sn1 0.2500 0.2500 0.2500 1
Sn2 0.7500 0.7500 0.7500 1
```

8.
# Ti3Nb3Sn2

A geometry-optimized Ti3Nb3Sn2 structure (GGA-PBEsol, the Alexandria database).

Calculated values
* D(E_F): 1.624 states/eV/atom
* space-group type: No. 155

CIF file:
```
data_Ti3Nb3Sn2
_chemical_formula_sum 'Ti3 Nb3 Sn2'
_symmetry_space_group_name_H-M 'P 1'
_symmetry_Int_Tables_number 1
_symmetry_space_group_name_Hall 'P 1'
_cell_length_a 5.2177
_cell_length_b 5.2177
_cell_length_c 5.2177
_cell_angle_alpha 90.25
_cell_angle_beta 90.25
_cell_angle_gamma 90.25
loop_
_atom_site_label
_atom_site_fract_x
_atom_site_fract_y
_atom_site_fract_z
_atom_site_occupancy
Ti1 0.0000 0.7390 0.2610 1
Ti2 0.2610 0.0000 0.7390 1
Ti3 0.7390 0.2610 0.0000 1
Nb1 0.2552 0.5000 0.7448 1
Nb2 0.5000 0.7448 0.2552 1
Nb3 0.7448 0.2552 0.5000 1
Sn1 0.2430 0.2430 0.2430 1
Sn2 0.7570 0.7570 0.7570 1
```

Number 1: calculated total energy -22.95 eV/f.u.. Number 2: calculated total energy -45.13 eV/f.u.. Number 3: calculated total energy -44.94 eV/f.u.. Number 4: calculated total energy -19.75 eV/f.u.. Number 5: calculated total energy -19.08 eV/f.u.. Number 6: calculated total energy -103.68 eV/f.u.. Number 7: calculated total energy -27.83 eV/f.u.. Number 8: calculated total energy -68.22 eV/f.u..